(1)
A plane-wave DFT calculation with PBE was carried out for crystalline CrGaPd14 at its relaxed geometry.

ΔH_f (0 K)   -205 kJ/mol of formula units

Unit cell a=5.5902 b=5.5902 c=7.7727 alpha=90.00 beta=90.00 gamma=90.01
Closest atoms and distances in Å follow each position.
Sites, in units of the cell vectors:
Pd: 0.3750 0.3750 0.0000  12 Pd 2.80-2.81
Pd: 0.3750 0.8750 0.5000  8 Pd 2.74, 2 Ga 2.80, 2 Cr 2.80
Pd: 0.8750 0.3750 0.0000  12 Pd 2.80-2.81
Pd: 0.8750 0.3750 0.5000  8 Pd 2.74, 2 Ga 2.80, 2 Cr 2.80
Pd: 0.1246 0.6254 0.2566  1 Cr 2.73, 10 Pd 2.74-2.81, 1 Ga 2.74
Pd: 0.1248 0.1248 0.7433  1 Cr 2.73, 10 Pd 2.74-2.81, 1 Ga 2.74
Pd: 0.6254 0.1246 0.7434  1 Cr 2.73, 10 Pd 2.74-2.81, 1 Ga 2.74
Pd: 0.6252 0.6252 0.2567  1 Cr 2.73, 10 Pd 2.74-2.81, 1 Ga 2.74
Pd: 0.1248 0.1248 0.2567  1 Cr 2.73, 10 Pd 2.74-2.81, 1 Ga 2.74
Pd: 0.6252 0.6252 0.7433  1 Cr 2.73, 10 Pd 2.74-2.81, 1 Ga 2.74
Pd: 0.8750 0.8750 0.0000  12 Pd 2.80-2.81
Pd: 0.1246 0.6254 0.7434  1 Cr 2.73, 10 Pd 2.74-2.81, 1 Ga 2.74
Pd: 0.3750 0.8750 0.0000  12 Pd 2.80-2.81
Pd: 0.6254 0.1246 0.2566  1 Cr 2.73, 10 Pd 2.74-2.81, 1 Ga 2.74
Ga: 0.3750 0.3750 0.5000  12 Pd 2.74-2.80
Cr: 0.8750 0.8750 0.5000  12 Pd 2.73-2.80

---

(2)
A plane-wave DFT calculation with PBE was carried out for crystalline CsTl2F3 at its relaxed geometry.

Energy relative to the lowest polymorph listed for this composition   0.01 eV/f.u.

Unit cell a=6.8449 b=7.4026 c=7.4026 alpha=111.29 beta=90.00 gamma=90.00
Closest atoms and distances in Å follow each position.
Sites, in units of the cell vectors:
Cs: 0.4806 0.3630 0.3630  4 F 2.91-2.96
Cs: 0.9806 0.6370 0.6370  4 F 2.91-2.96
F: 0.3999 0.7053 0.7053  2 Tl 2.56
F: 0.2666 0.4993 0.0896  2 Tl 2.45-2.46
F: 0.8999 0.2947 0.2947  2 Tl 2.56
F: 0.7666 0.9104 0.5007  2 Tl 2.45-2.46
F: 0.2666 0.0896 0.4993  2 Tl 2.45-2.46
F: 0.7666 0.5007 0.9104  2 Tl 2.45-2.46
Tl: 0.9992 0.2684 0.9528  3 F 2.45-2.56
Tl: 0.4992 0.7316 0.0472  3 F 2.45-2.56
Tl: 0.4992 0.0472 0.7316  3 F 2.45-2.56
Tl: 0.9992 0.9528 0.2684  3 F 2.45-2.56

---

(3)
A plane-wave DFT calculation with PBE was carried out for crystalline In2FeP2 at its relaxed geometry.

ΔH_f (0 K)   12 kJ/mol of formula units

Unit cell a=5.8168 b=5.8168 c=5.5546 alpha=90.00 beta=90.00 gamma=90.00
Closest atoms and distances in Å follow each position.
Sites, in units of the cell vectors:
P: 0.1370 0.3630 0.0000  1 P 2.25, 2 Fe 2.26
P: 0.8630 0.6370 0.0000  1 P 2.25, 2 Fe 2.26
P: 0.6370 0.1370 0.0000  1 P 2.25, 2 Fe 2.26
P: 0.3630 0.8630 0.0000  1 P 2.25, 2 Fe 2.26
In: 0.1984 0.6984 0.5000  5 In 2.97-3.26, 2 P 3.09
In: 0.3016 0.1984 0.5000  5 In 2.97-3.26, 2 P 3.09
In: 0.6984 0.8016 0.5000  5 In 2.97-3.26, 2 P 3.09
In: 0.8016 0.3016 0.5000  5 In 2.97-3.26, 2 P 3.09
Fe: 0.0000 0.0000 0.0000  4 P 2.26
Fe: 0.5000 0.5000 0.0000  4 P 2.26

---

(4)
A plane-wave DFT calculation with PBE was carried out for crystalline CdGaBr5 at its relaxed geometry.

DFT total energy   -35.5 eV/cell

Unit cell a=7.5207 b=7.5224 c=10.0167 alpha=109.20 beta=109.20 gamma=90.86
Closest atoms and distances in Å follow each position.
Sites, in units of the cell vectors:
Br: 0.2270 0.6595 0.3405  1 Ga 2.39
Br: 0.7827 0.7407 0.4558  1 Ga 2.36
Br: 0.2401 0.2822 0.9555  1 Ga 2.36
Br: 0.5924 0.9079 0.7501  2 Cd 2.69
Br: 0.1596 0.7266 0.8403  1 Ga 2.39
Br: 0.4076 0.0921 0.2499  2 Cd 2.69
Br: 0.7599 0.7178 0.0445  1 Ga 2.36
Br: 0.8404 0.2734 0.1597  1 Ga 2.39
Br: 0.7730 0.3405 0.6595  1 Ga 2.39
Br: 0.2173 0.2593 0.5442  1 Ga 2.36
Cd: 0.5000 0.0000 0.5000  6 Br 2.69-2.95
Cd: 0.5000 0.0000 0.0000  6 Br 2.69-2.95
Ga: 0.1128 0.3869 0.7499  4 Br 2.36-2.39
Ga: 0.8872 0.6131 0.2501  4 Br 2.36-2.39